First-principles (PBE) data for a relaxed AgBiO4 crystal, as listed in Alexandria via LeMat-Bulk.

E_form (uncorrected) = -2.1 eV per formula unit
Total magnetic moment = 0.000 μB per cell
Crystal system = orthorhombic
SG = No. 30

Lattice parameters (Å, degrees): 4.9889 5.4519 6.0573 90.00 90.00 90.00
Atoms (fractional coordinates):
Ag (0.5000, 0.0000, 0.3460)
O (0.2732, 0.3236, 0.3927)
O (0.2376, 0.8233, 0.1014)
O (0.7268, 0.6764, 0.3927)
O (0.2268, 0.3236, 0.8927)
O (0.2624, 0.8233, 0.6014)
Bi (0.5000, 0.5000, 0.6658)
O (0.7624, 0.1767, 0.1014)
Bi (0.0000, 0.5000, 0.1658)
O (0.7732, 0.6764, 0.8927)
O (0.7376, 0.1767, 0.6014)
Ag (0.0000, 0.0000, 0.8460)